Entry 1:
DFT (PBE) results for a relaxed structure of KV2SI.

Unit cell a=4.6320 b=8.4518 c=4.6320 alpha=90.00 beta=90.00 gamma=90.00
Closest atoms and distances in Å follow each position.
Positions (direct):
I (0.0000, 0.5000, 0.0000)  4 K 3.28
K (0.5000, 0.5000, 0.5000)  4 I 3.28
S (0.0000, 0.0000, 0.0000)  4 V 2.32
V (0.0000, 0.0000, 0.5000)  2 S 2.32
V (0.5000, 0.0000, 0.0000)  2 S 2.32

Properties
Calculated total energy, eV per cell: -24.9
DOS(E_F), states/eV per cell: 5.32
Space-group type: No. 123
E_form (uncorrected), meV/atom: 18

Entry 2:
DFT (PBE) results for a relaxed structure of KYSI2.

Unit cell a=7.1656 b=4.8547 c=7.1656 alpha=90.00 beta=90.00 gamma=90.00
Closest atoms and distances in Å follow each position.
Positions (direct):
I (0.0000, 0.0000, 0.5000)  2 S 3.58
I (0.5000, 0.0000, 0.0000)  2 S 3.58
Y (0.0000, 0.5000, 0.0000)  2 S 2.43
K (0.5000, 0.5000, 0.5000)  8 I 4.33
S (0.0000, 0.0000, 0.0000)  2 Y 2.43

Properties
Calculated total energy, eV per cell: -18.5
DOS(E_F), states/eV per cell: 0.00
Space-group type: No. 123
E_form (uncorrected), meV/atom: -746

Entry 3:
DFT (PBE) results for a relaxed structure of K4SbI6.

Unit cell a=9.7898 b=9.7898 c=9.9252 alpha=90.00 beta=90.00 gamma=90.00
Closest atoms and distances in Å follow each position.
Positions (direct):
K (0.3353, 0.1647, 0.2500)  6 I 3.63-3.71
K (0.1647, 0.6647, 0.7500)  6 I 3.63-3.71
K (0.6647, 0.8353, 0.7500)  6 I 3.63-3.71
K (0.8353, 0.3353, 0.7500)  6 I 3.63-3.71
K (0.3353, 0.1647, 0.7500)  6 I 3.63-3.71
K (0.1647, 0.6647, 0.2500)  6 I 3.63-3.71
K (0.8353, 0.3353, 0.2500)  6 I 3.63-3.71
K (0.6647, 0.8353, 0.2500)  6 I 3.63-3.71
Sb (0.5000, 0.5000, 0.0000)  6 I 3.02-3.37
Sb (0.0000, 0.0000, 0.5000)  6 I 3.02-3.37
I (0.3236, 0.8837, 0.5000)  1 Sb 3.37, 4 K 3.63-3.71
I (0.8236, 0.6163, 0.0000)  1 Sb 3.37, 4 K 3.63-3.71
I (0.6163, 0.1764, 0.0000)  1 Sb 3.37, 4 K 3.63-3.71
I (0.1163, 0.3236, 0.5000)  1 Sb 3.37, 4 K 3.63-3.71
I (0.0000, 0.0000, 0.1961)  1 Sb 3.02
I (0.5000, 0.5000, 0.3039)  1 Sb 3.02
I (0.3837, 0.8236, 0.0000)  1 Sb 3.37, 4 K 3.63-3.71
I (0.0000, 0.0000, 0.8039)  1 Sb 3.02
I (0.1764, 0.3837, 0.0000)  1 Sb 3.37, 4 K 3.63-3.71
I (0.5000, 0.5000, 0.6961)  1 Sb 3.02
I (0.8837, 0.6764, 0.5000)  1 Sb 3.37, 4 K 3.63-3.71
I (0.6764, 0.1163, 0.5000)  1 Sb 3.37, 4 K 3.63-3.71

Properties
Calculated total energy, eV per cell: -58.4
DOS(E_F), states/eV per cell: 11.10
Space-group type: No. 128
E_form (uncorrected), meV/atom: -1036

Entry 4:
DFT (PBE) results for a relaxed structure of K2SbI5.

Unit cell a=6.9108 b=8.5078 c=9.2054 alpha=93.40 beta=111.95 gamma=114.00
Closest atoms and distances in Å follow each position.
Positions (direct):
K (0.5256, 0.6863, 0.2650)  6 I 3.53-3.75
K (0.6300, 0.3686, 0.7899)  6 I 3.53-3.75
Sb (0.1004, 0.0279, 0.0279)  5 I 2.85-3.06
I (0.9914, 0.7074, 0.1742)  1 Sb 3.06
I (0.3207, 0.2706, 0.3596)  1 Sb 3.02
I (0.7515, 0.7846, 0.6957)  1 Sb 3.02
I (0.1655, 0.3480, 0.8810)  1 Sb 3.06
I (0.5150, 0.0296, 0.0299)  1 Sb 2.85

Properties
Calculated total energy, eV per cell: -21.1
Space-group type: No. 1
Energy above the most stable polymorph in this dataset, meV per atom: 0
E_form (uncorrected), meV/atom: -878

Entry 5:
DFT (PBE) results for a relaxed structure of KSb2I.

Unit cell a=10.3699 b=10.3699 c=7.9384 alpha=49.22 beta=49.22 gamma=90.00
Closest atoms and distances in Å follow each position.
Positions (direct):
I (0.0000, 0.0000, 0.0000)  2 K 3.04
I (0.7500, 0.2500, 0.5000)  2 K 3.04
Sb (0.6524, 0.1250, 0.2500)  2 Sb 3.09
Sb (0.0976, 0.6250, 0.2500)  2 Sb 3.09
Sb (0.3750, 0.3476, 0.7500)  2 Sb 3.09
Sb (0.8750, 0.9024, 0.7500)  2 Sb 3.09
K (0.5000, 0.5000, 0.0000)  2 I 3.04
K (0.2500, 0.7500, 0.5000)  2 I 3.04

Properties
Calculated total energy, eV per cell: -21.3
DOS(E_F), states/eV per cell: 1.45
Space-group type: No. 122
Energy above the most stable polymorph in this dataset, meV per atom: 0
E_form (uncorrected), meV/atom: 65

Entry 6:
DFT (PBE) results for a relaxed structure of KSb2I.

Unit cell a=5.7440 b=5.7440 c=5.7440 alpha=60.00 beta=60.00 gamma=60.00
Closest atoms and distances in Å follow each position.
Positions (direct):
I (0.5000, 0.5000, 0.5000)  8 Sb 3.52
Sb (0.2500, 0.2500, 0.2500)  4 I 3.52, 4 K 3.52
Sb (0.7500, 0.7500, 0.7500)  4 I 3.52, 4 K 3.52
K (0.0000, 0.0000, 0.0000)  8 Sb 3.52

Properties
Calculated total energy, eV per cell: -9.6
DOS(E_F), states/eV per cell: 2.83
Space-group type: No. 225
Energy above the most stable polymorph in this dataset, meV per atom: 258
E_form (uncorrected), meV/atom: 324